No. 1
BaNdZn10 | Alexandria via LeMat-Bulk | GGA-PBE | relaxed; total DFT energy (no corrections) = -1.842 eV/atom
1.0
4.293 0.000 0.000
0.000 5.567 0.000
0.000 0.000 9.588
Ba Nd Zn
1 1 10
Direct
0.000 0.000 0.000 Ba
0.000 0.500 0.500 Nd
0.000 0.000 0.340 Zn
0.000 0.000 0.660 Zn
0.000 0.500 0.174 Zn
0.000 0.500 0.826 Zn
0.500 0.000 0.500 Zn
0.500 0.260 0.266 Zn
0.500 0.260 0.734 Zn
0.500 0.500 0.000 Zn
0.500 0.740 0.266 Zn
0.500 0.740 0.734 Zn

---

No. 2
Tb12Er2Tm | Alexandria via LeMat-Bulk | GGA-PBE | relaxed; total DFT energy (no corrections) = -4.576 eV/atom
1.0
6.623 0.000 0.000
2.820 5.993 0.000
1.399 2.974 23.957
Tb Er Tm
24 4 2
Direct
0.001 0.341 0.323 Tb
0.011 0.480 0.065 Tb
0.249 0.155 0.190 Tb
0.249 0.678 0.145 Tb
0.250 0.021 0.458 Tb
0.250 0.478 0.542 Tb
0.250 0.549 0.401 Tb
0.250 0.950 0.600 Tb
0.251 0.344 0.810 Tb
0.251 0.818 0.863 Tb
0.487 0.957 0.064 Tb
0.498 0.838 0.323 Tb
0.502 0.162 0.677 Tb
0.513 0.043 0.936 Tb
0.749 0.182 0.137 Tb
0.749 0.656 0.190 Tb
0.750 0.050 0.400 Tb
0.750 0.451 0.599 Tb
0.750 0.522 0.458 Tb
0.750 0.979 0.542 Tb
0.751 0.322 0.855 Tb
0.751 0.845 0.810 Tb
0.989 0.520 0.935 Tb
0.999 0.659 0.677 Tb
0.004 0.134 0.725 Er
0.498 0.640 0.725 Er
0.502 0.360 0.275 Er
0.996 0.866 0.275 Er
0.000 0.000 0.000 Tm
0.500 0.500 0.000 Tm

---

No. 3
CeHoHf2 | Alexandria via LeMat-Bulk | GGA-PBE | relaxed; total DFT energy (no corrections) = -7.374 eV/atom
1.0
3.861 0.000 0.000
0.000 3.861 0.000
0.000 0.000 6.876
Ce Ho Hf
1 1 2
Direct
0.000 0.000 0.000 Ce
0.000 0.000 0.500 Ho
0.500 0.500 0.218 Hf
0.500 0.500 0.782 Hf

---

No. 4
Zr2Nb2C3 | Alexandria via LeMat-Bulk | GGA-PBE | relaxed; total DFT energy (no corrections) = -9.964 eV/atom
1.0
5.496 -1.642 0.000
5.496 1.642 0.000
-1.330 0.000 5.410
Zr Nb C
2 2 3
Direct
0.120 0.120 0.364 Zr
0.880 0.880 0.636 Zr
0.360 0.360 0.145 Nb
0.640 0.640 0.855 Nb
0.249 0.249 0.754 C
0.500 0.500 0.500 C
0.751 0.751 0.246 C

---

No. 5
Sb3AsPb | Alexandria via LeMat-Bulk | GGA-PBE | relaxed; E_form (uncorrected) = 0.4905 eV per atom
1.0
5.418 0.000 0.000
0.000 5.418 0.000
0.000 0.000 5.418
Sb As Pb
3 1 1
Direct
0.000 0.000 0.500 Sb
0.000 0.500 0.000 Sb
0.500 0.000 0.000 Sb
0.000 0.000 0.000 As
0.500 0.500 0.500 Pb

---

No. 6
Sc3NO | Alexandria via LeMat-Bulk | GGA-PBE | relaxed; E_form (uncorrected) = -1.7545 eV per atom
1.0
3.421 0.000 0.000
0.000 8.687 2.691
0.000 -8.687 2.691
Sc N O
6 2 2
Direct
0.250 0.074 0.926 Sc
0.250 0.401 0.641 Sc
0.250 0.760 0.216 Sc
0.750 0.216 0.760 Sc
0.750 0.641 0.401 Sc
0.750 0.926 0.074 Sc
0.250 0.909 0.574 N
0.750 0.574 0.909 N
0.250 0.122 0.252 O
0.750 0.252 0.122 O

---

No. 7
Zr2ScTe | Alexandria via LeMat-Bulk | GGA-PBE | relaxed; E_form (uncorrected) = -0.2348 eV per atom
1.0
3.364 0.000 0.000
0.000 5.195 0.000
-0.650 0.000 5.378
Zr Sc Te
2 1 1
Direct
0.189 0.000 0.243 Zr
0.811 0.000 0.757 Zr
0.500 0.500 0.000 Sc
0.000 0.500 0.500 Te

---

No. 8
Ba5Zn4Hg | Alexandria via LeMat-Bulk | GGA-PBE | relaxed; total DFT energy (no corrections) = -1.732 eV/atom
1.0
4.124 0.000 0.000
0.000 4.124 0.000
0.000 0.000 20.715
Ba Zn Hg
5 4 1
Direct
0.000 0.000 0.000 Ba
0.000 0.000 0.198 Ba
0.000 0.000 0.396 Ba
0.000 0.000 0.604 Ba
0.000 0.000 0.802 Ba
0.500 0.500 0.099 Zn
0.500 0.500 0.296 Zn
0.500 0.500 0.704 Zn
0.500 0.500 0.901 Zn
0.500 0.500 0.500 Hg

---

No. 9
UTiMoRu | Alexandria via LeMat-Bulk | GGA-PBE | relaxed; total DFT energy (no corrections) = -9.955 eV/atom
1.0
0.000 3.254 3.254
3.254 0.000 3.254
3.254 3.254 0.000
U Ti Mo Ru
1 1 1 1
Direct
0.000 0.000 0.000 U
0.500 0.500 0.500 Ti
0.250 0.250 0.250 Mo
0.750 0.750 0.750 Ru

---

No. 10
Ho6Al2CO | Alexandria via LeMat-Bulk | GGA-PBE | relaxed; E_form (uncorrected) = -0.9371 eV per atom
1.0
0.000 4.774 4.774
4.774 0.000 4.774
4.774 4.774 0.000
Ho Al C O
6 2 1 1
Direct
0.249 0.249 0.751 Ho
0.249 0.751 0.249 Ho
0.249 0.751 0.751 Ho
0.751 0.249 0.249 Ho
0.751 0.249 0.751 Ho
0.751 0.751 0.249 Ho
0.250 0.250 0.250 Al
0.750 0.750 0.750 Al
0.000 0.000 0.000 C
0.500 0.500 0.500 O

---

No. 11
Pr2NdPd4 | Alexandria via LeMat-Bulk | GGA-PBE | relaxed; total DFT energy (no corrections) = -5.150 eV/atom
1.0
-2.593 2.593 7.557
2.593 -2.593 7.557
2.593 2.593 -7.557
Pr Nd Pd
2 1 4
Direct
0.135 0.135 0.000 Pr
0.865 0.865 0.000 Pr
0.500 0.500 0.000 Nd
0.000 0.500 0.500 Pd
0.316 0.316 0.000 Pd
0.500 0.000 0.500 Pd
0.684 0.684 0.000 Pd

---

No. 12
TaBiI2O | Alexandria via LeMat-Bulk | GGA-PBE | relaxed; E_form (uncorrected) = 0.8187 eV per atom
1.0
6.196 0.000 0.000
0.000 6.196 0.000
0.000 0.000 4.244
Ta Bi I O
1 1 2 1
Direct
0.000 0.000 0.000 Ta
0.500 0.500 0.500 Bi
0.000 0.500 0.500 I
0.500 0.000 0.500 I
0.500 0.500 0.000 O